6
Lattice="2.7328 0.0000 0.0000 0.0000 2.7328 0.0000 0.0000 0.0000 11.1614" Properties=species:S:1:pos:R:3 comment="PBEsol ZnTc5, relaxed" energy_ev_per_cell=-57.43 magnetic_moment_mub_per_fu=0.00 delta_e_f_ev_per_atom=0.0811 pbc="T T T"
Zn 1.3664 1.3664 0.0000
Tc 0.0000 0.0000 9.2850
Tc 0.0000 0.0000 1.8763
Tc 1.3664 1.3664 7.5084
Tc 1.3664 1.3664 3.6530
Tc 0.0000 0.0000 5.5807

4
Lattice="-2.0975 0.9745 -1.5116 -1.1378 -1.5769 -1.9629 -6.9429 -3.4730 4.8696" Properties=species:S:1:pos:R:3 comment="PBEsol TaTc2Os, relaxed" energy_ev_per_cell=-46.83 magnetic_moment_mub_per_fu=0.00 delta_e_f_ev_per_atom=0.1183 pbc="T T T"
Os -5.1536 -2.0737 0.7639
Ta -2.5556 -1.0250 0.3601
Tc -6.8608 -3.4272 4.7852
Tc -7.6400 -3.0601 1.0529

5
Lattice="-5.3611 0.1554 -1.4602 0.0794 -5.4886 -0.8757 -1.4663 -0.8655 5.2914" Properties=species:S:1:pos:R:3 comment="PBEsol HfSnBi3, relaxed" energy_ev_per_cell=-25.60 magnetic_moment_mub_per_fu=0.00 delta_e_f_ev_per_atom=0.4044 pbc="T T T"
Hf 0.0000 0.0000 0.0000
Bi 0.0397 -2.7443 -0.4379
Bi -0.7331 -0.4327 2.6457
Bi -2.6805 0.0777 -0.7301
Sn -3.3740 -3.0993 1.4777

9
Lattice="3.7886 0.0000 0.0000 0.0000 7.5921 0.0000 0.0000 -3.7961 6.5750" Properties=species:S:1:pos:R:3 comment="PBEsol Sc6MnTe2, relaxed" energy_ev_per_cell=-62.10 magnetic_moment_mub_per_fu=0.31 raw_formation_energy_ev_per_atom=-0.6290 pbc="T T T"
Sc 0.0000 1.7651 0.0000
Sc 0.0000 2.9135 5.0464
Sc 0.0000 -0.8825 1.5286
Sc 1.8943 4.6671 0.0000
Sc 1.8943 1.4625 2.5331
Sc 1.8943 -2.3336 4.0418
Te 0.0000 3.7961 2.1917
Te 0.0000 0.0000 4.3833
Mn 1.8943 0.0000 0.0000

6
Lattice="-2.6907 2.9610 1.8200 -1.1001 -1.9312 -3.7921 -3.2757 -5.1834 3.5901" Properties=species:S:1:pos:R:3 comment="PBEsol LiZnSb, relaxed" energy_ev_per_cell=-18.43 magnetic_moment_mub_per_fu=0.00 raw_formation_energy_ev_per_atom=-0.3698 pbc="T T T"
Sb -3.6123 -3.4367 0.2508
Sb -2.5046 0.7857 0.3264
Zn -4.8679 -5.4235 1.6269
Zn -3.7602 -1.2011 1.7025
Li -2.7044 -4.2794 2.9640
Li -1.0666 -1.6877 1.1689

82
Lattice="9.3754 0.0000 0.0000 4.6877 8.1194 0.0000 4.6877 2.7065 12.2384" Properties=species:S:1:pos:R:3 comment="PBEsol Ba3V2P6H6O24, relaxed" energy_ev_per_cell=-594.64 magnetic_moment_mub_per_fu=4.00 pbc="T T T"
Ba 8.5316 2.7065 3.0596
Ba 6.6096 4.7905 9.1788
Ba 11.2974 3.3289 9.1788
Ba 7.4535 7.4970 3.0596
Ba 12.1412 6.0353 3.0596
Ba 10.2193 8.1194 9.1788
V 14.0632 8.1194 9.1788
V 0.0000 0.0000 0.0000
V 9.3754 5.4129 6.1192
V 4.6877 2.7065 3.0596
P 13.0799 5.6909 11.0742
P 12.4517 10.1851 11.0742
P 8.3922 2.4285 7.2834
P 16.6579 8.4821 11.0742
P 6.2992 4.7722 4.9550
P 11.4684 3.0692 4.9550
P 7.2825 7.7566 7.2834
P 12.4517 6.0536 7.2834
P 10.3587 8.3974 4.9550
P 2.0930 2.3437 1.1642
P 6.2992 0.6407 1.1642
P 5.6710 5.1349 1.1642
H 7.8433 1.2240 5.3525
H 4.9816 4.6453 6.8859
H 7.8433 4.1889 0.7667
H 12.2371 1.9916 6.8859
H 9.6694 3.4740 11.4717
H 7.5494 6.1278 11.4717
H 11.2015 4.6980 0.7667
H 6.5138 8.8343 5.3525
H 9.0815 7.3518 0.7667
H 10.9076 6.6369 11.4717
H 13.7692 6.1805 5.3525
H 10.9076 9.6018 6.8859
O 13.5135 4.2103 10.9825
O 14.1420 6.5099 10.3115
O 12.6299 7.3829 8.0461
O 15.4176 7.2464 8.0461
O 12.6299 8.8559 10.3115
O 6.2649 2.4306 10.9825
O 6.9730 2.2312 7.8473
O 8.4182 2.0145 5.7730
O 14.1420 9.7289 8.0461
O 15.4176 8.9924 10.3115
O 5.9537 4.5427 6.4654
O 10.9297 1.7415 4.3911
O 8.6444 3.1962 10.5103
O 8.4182 3.3984 0.3462
O 8.8257 3.9091 7.3751
O 8.3479 9.5978 10.9825
O 7.0902 4.9377 1.7281
O 5.4188 5.9026 4.3911
O 7.1522 5.2347 11.8922
O 7.7982 5.1370 4.8633
O 10.6414 3.5767 11.8922
O 11.8399 2.8847 6.4654
O 10.9297 3.6714 1.7281
O 10.4030 4.1849 4.8633
O 8.3479 6.6409 7.3751
O 7.8212 7.1544 10.5103
O 6.9109 7.9411 5.7730
O 8.1095 7.2491 0.3462
O 10.9527 5.6888 7.3751
O 11.5986 5.5912 0.3462
O 11.6607 5.8882 10.5103
O 13.3321 4.9232 7.8473
O 10.4030 1.2280 1.2559
O 9.9251 6.9168 4.8633
O 10.3327 7.4274 11.8922
O 10.1065 7.6296 1.7281
O 7.8212 9.0843 7.8473
O 12.7972 6.2831 5.7730
O 4.6089 1.0970 4.1923
O 3.3333 1.8335 1.9269
O 10.3327 8.8113 6.4654
O 11.7779 8.5946 4.3911
O 12.4859 8.3952 1.2559
O 6.1210 1.9700 1.9269
O 3.3333 3.5794 4.1923
O 4.6089 4.3159 1.9269
O 6.1210 3.4430 4.1923
O 5.2374 6.6155 1.2559

6
Lattice="6.3276 0.0000 0.0000 3.1638 5.4799 0.0000 3.1638 1.8266 5.1665" Properties=species:S:1:pos:R:3 comment="PBEsol SbPb4Cl, relaxed" energy_ev_per_cell=-21.78 magnetic_moment_mub_per_fu=0.00 raw_formation_energy_ev_per_atom=0.1307 pbc="T T T"
Cl 0.0000 0.0000 0.0000
Pb 4.7472 2.7408 1.9381
Pb 6.3276 3.6532 4.5187
Pb 7.9079 2.7408 1.9381
Pb 6.3276 5.4780 1.9381
Sb 9.4914 5.4799 3.8748

2
Lattice="3.8268 0.0000 0.0000 1.9134 3.3141 0.0000 1.9134 1.1047 3.1246" Properties=species:S:1:pos:R:3 comment="PBEsol ScAs, relaxed" energy_ev_per_cell=-14.54 magnetic_moment_mub_per_fu=0.00 delta_e_f_ev_per_atom=-1.4121 pbc="T T T"
Sc 0.0000 0.0000 0.0000
As 3.8268 2.2094 1.5623

4
Lattice="4.7839 0.0000 0.0000 2.3919 4.1429 0.0000 2.3919 1.3810 3.9060" Properties=species:S:1:pos:R:3 comment="PBEsol KP2Au, relaxed" energy_ev_per_cell=-14.35 magnetic_moment_mub_per_fu=0.00 delta_e_f_ev_per_atom=0.5735 pbc="T T T"
Au 4.7839 2.7620 1.9530
K 2.3919 1.3810 0.9765
P 0.0000 0.0000 0.0000
P 7.1758 4.1429 2.9295

4
Lattice="-2.7864 -0.2203 2.3886 -0.7338 -4.3007 -1.2526 5.0561 0.6223 3.1258" Properties=species:S:1:pos:R:3 comment="PBEsol La2SiNi, relaxed" energy_ev_per_cell=-24.60 magnetic_moment_mub_per_fu=0.00 raw_formation_energy_ev_per_atom=-0.5015 pbc="T T T"
Ni -1.4410 -2.4191 0.9255
Si 0.8628 -2.7616 0.7518
La 1.4448 -3.8534 4.1597
La 0.4452 -1.0239 3.2546

5
Lattice="-1.5487 2.8908 -1.2289 -2.9890 -0.9349 1.5675 1.4837 2.6762 4.4254" Properties=species:S:1:pos:R:3 comment="PBEsol AlBSN2, relaxed" energy_ev_per_cell=-25.70 magnetic_moment_mub_per_fu=0.00 raw_formation_energy_ev_per_atom=1.3694 pbc="T T T"
S 0.7418 1.3381 2.2127
B -1.5270 2.3160 2.3820
Al 0.0000 0.0000 0.0000
N -1.4945 -0.4675 0.7837
N -0.7743 1.4454 -0.6145

5
Lattice="-2.3926 -2.5479 0.7317 1.3384 0.2986 -3.2971 4.2126 -3.5572 1.3879" Properties=species:S:1:pos:R:3 comment="PBEsol Tm2O3, relaxed" energy_ev_per_cell=-43.89 magnetic_moment_mub_per_fu=0.00 raw_formation_energy_ev_per_atom=-3.6683 pbc="T T T"
Tm 1.1439 -1.5361 -1.6085
Tm 2.0146 -4.2704 0.4310
O 2.8157 -2.9478 -1.0577
O 0.3428 -2.8586 -0.1198
O 0.0000 0.0000 0.0000